BaAlSi2 | meta-GGA SCAN | single point on PBEsol structure

## Properties
DOS at the Fermi energy: 9.35 states/eV per cell
E_form (uncorrected): 0.55 eV per atom

The structure in CIF format:
```
data_BaAlSi2
_cell_length_a 7.124
_cell_length_b 7.124
_cell_length_c 7.124
_cell_angle_alpha 90.00
_cell_angle_beta 90.00
_cell_angle_gamma 90.00
_symmetry_space_group_name_H-M 'F -4 3 m'
_symmetry_Int_Tables_number 216
_symmetry_space_group_name_Hall 'F -4 2 3'
loop_
_atom_site_label
_atom_site_fract_x
_atom_site_fract_y
_atom_site_fract_z
Ba1 0.000 0.000 0.000
Al1 0.250 0.250 0.250
Si1 0.000 0.000 0.500
Si2 0.250 0.250 0.750
```


Ba2AlSi | meta-GGA SCAN | single point on PBEsol structure

## Properties
DOS at the Fermi energy: 4.56 states/eV per cell
E_form (uncorrected): -0.31 eV per atom

The structure in CIF format:
```
data_Ba2AlSi
_cell_length_a 4.104
_cell_length_b 5.446
_cell_length_c 10.740
_cell_angle_alpha 90.00
_cell_angle_beta 90.00
_cell_angle_gamma 90.00
_symmetry_space_group_name_H-M 'I m m 2'
_symmetry_Int_Tables_number 44
loop_
_symmetry_equiv_pos_as_xyz
'x,y,z'
'-x,-y,z'
'-x,y,z'
'x,-y,z'
'x+1/2,y+1/2,z+1/2'
'-x+1/2,-y+1/2,z+1/2'
'-x+1/2,y+1/2,z+1/2'
'x+1/2,-y+1/2,z+1/2'
loop_
_atom_site_label
_atom_site_fract_x
_atom_site_fract_y
_atom_site_fract_z
Ba1 0.000 0.000 0.000
Ba2 0.000 0.500 0.192
Al1 0.000 0.000 0.404
Si1 0.000 0.500 0.770
```